# 1
This record from Alexandria via LeMat-Bulk describes CuAg2Se after structural relaxation. The functional is PBE.

The structure belongs to space group C2/m (No. 12); the cell edges are 5.797, 9.799 and 2.819 Å and the angles 90.00°, 118.14° and 90.00°. The inequivalent atoms are Cu at (0.000, 0.000, 0.000), Ag at (0.250, 0.250, 0.000) and Se at (0.000, 0.500, 0.000).

The size of the total moment comes out at 0.00 μB per atom. The value obtained for the energy relative to the elements, uncorrected is 217 meV/atom.

# 2
This record from Alexandria via LeMat-Bulk describes CuAgSe after structural relaxation. The functional is PBE.

The structure belongs to space group P3m1 (No. 156); the cell edges are 4.1048, 4.1048 and 3.9150 Å and the angles 90.00°, 90.00° and 120.00°. The inequivalent atoms are Cu at (0.0000, 0.0000, 0.0000), Ag at (0.3333, 0.6667, 0.5321) and Se at (0.6667, 0.3333, 0.0379).

The size of the total moment comes out at 0.00 μB per atom. The value obtained for the energy relative to the elements, uncorrected is 27 meV/atom.

# 3
This record from Alexandria via LeMat-Bulk describes CuAgSe2 after structural relaxation. The functional is PBE.

The structure belongs to space group P2/m (No. 10); the cell edges are 3.807, 3.795 and 5.323 Å and the angles 90.00°, 90.29° and 90.00°. The inequivalent atoms are Cu at (0.000, 0.000, 0.000), Ag at (0.500, 0.500, 0.500), Se at (0.000, 0.000, 0.500) and Se at (0.500, 0.500, 0.000).

The size of the total moment comes out at 0.00 μB per atom. The value obtained for the energy relative to the elements, uncorrected is 23 meV/atom.

# 4
This record from Alexandria via LeMat-Bulk describes CuAgSe2 after structural relaxation. The functional is PBE.

The structure belongs to space group P4mm (No. 99); the cell edges are 3.407, 3.407 and 7.867 Å and the angles 90.00°, 90.00° and 90.00°. The inequivalent atoms are Cu at (0.000, 0.000, 0.000), Ag at (0.500, 0.500, 0.731), Se at (0.000, 0.000, 0.565) and Se at (0.500, 0.500, 0.076).

The size of the total moment comes out at 0.00 μB per atom. The value obtained for the energy relative to the elements, uncorrected is 108 meV/atom.

# 5
This record from Alexandria via LeMat-Bulk describes CuAgSe2 after structural relaxation. The functional is PBE.

The structure belongs to space group I-42d (No. 122); the cell edges are 5.857, 5.857 and 10.975 Å and the angles 90.00°, 90.00° and 90.00°. The inequivalent atoms are Cu at (0.000, 0.000, 0.000), Ag at (0.000, 0.000, 0.500) and Se at (0.214, 0.250, 0.125).

The size of the total moment comes out at 0.00 μB per atom. The value obtained for the energy relative to the elements, uncorrected is -30 meV/atom.

# 6
This record from Alexandria via LeMat-Bulk describes CuAgSe after structural relaxation. The functional is PBE.

The structure belongs to space group I4mm (No. 107); the cell edges are 2.961, 2.961 and 11.901 Å and the angles 90.00°, 90.00° and 90.00°. The inequivalent atoms are Cu at (0.000, 0.000, 0.000), Ag at (0.000, 0.000, 0.347) and Se at (0.000, 0.000, 0.642).

The size of the total moment comes out at 0.00 μB per atom. The value obtained for the energy relative to the elements, uncorrected is 199 meV/atom.